1.
Entry from OQMD via LeMat-Bulk: a relaxed structure of NbSb2 (PBE).

The total magnetization comes out at 0.85 μB/f.u. The crystal system is cubic. As for the energy: -5.859 eV per atom.

Unit cell a=6.799 b=6.799 c=6.799 alpha=90.00 beta=90.00 gamma=90.00
Space group Fm-3m (No. 225)
Unique sites:
1 Nb 0.000 0.000 0.000
2 Sb 0.250 0.250 0.250

2.
Entry from OQMD via LeMat-Bulk: a relaxed structure of NbSb2 (PBE).

The total magnetization comes out at 0.22 μB/f.u. The crystal system is cubic. As for the energy: -5.121 eV per atom.

Unit cell a=8.403 b=8.403 c=8.403 alpha=90.00 beta=90.00 gamma=90.00
Space group Fd-3m (No. 227, origin choice 2)
Unique sites:
1 Nb 0.125 0.125 0.125
2 Sb 0.000 0.000 0.500

3.
Entry from OQMD via LeMat-Bulk: a relaxed structure of NbSb2 (PBE).

The total magnetization comes out at 0.01 μB/f.u. The crystal system is cubic. As for the energy: -5.355 eV per atom.

Unit cell a=12.088 b=12.088 c=12.088 alpha=90.00 beta=90.00 gamma=90.00
Space group Fd-3m (No. 227, origin choice 2)
Unique sites:
1 Nb 0.125 0.125 0.125
2 Sb 0.000 0.000 0.000

4.
Entry from OQMD via LeMat-Bulk: a relaxed structure of NbSb2 (PBE).

The total magnetization comes out at 0.01 μB/f.u. The crystal system is monoclinic. As for the energy: -6.179 eV per atom.

Unit cell a=10.261 b=3.658 c=8.114 alpha=90.00 beta=110.21 gamma=90.00
Space group C2/m (No. 12)
Unique sites:
1 Nb 0.123 0.000 0.191
2 Sb 0.118 0.500 0.907
3 Sb 0.130 0.500 0.472

5.
Entry from OQMD via LeMat-Bulk: a relaxed structure of ScNb2Sb (PBE).

The total magnetization comes out at 0.01 μB/f.u. The crystal system is cubic. As for the energy: -7.869 eV per atom.

Unit cell a=6.754 b=6.754 c=6.754 alpha=90.00 beta=90.00 gamma=90.00
Space group F-43m (No. 216)
Unique sites:
1 Sc 0.000 0.000 0.000
2 Nb 0.000 0.000 0.500
3 Nb 0.250 0.250 0.250
4 Sb 0.250 0.250 0.750

6.
Entry from OQMD via LeMat-Bulk: a relaxed structure of ScNbSb (PBE).

The total magnetization comes out at 0.00 μB/f.u. The crystal system is cubic. As for the energy: -6.918 eV per atom.

Unit cell a=6.570 b=6.570 c=6.570 alpha=90.00 beta=90.00 gamma=90.00
Space group F-43m (No. 216)
Unique sites:
1 Sc 0.000 0.000 0.000
2 Nb 0.000 0.000 0.500
3 Sb 0.250 0.250 0.750

7.
Entry from OQMD via LeMat-Bulk: a relaxed structure of ScNbSb2 (PBE).

The total magnetization comes out at 1.94 μB/f.u. The crystal system is cubic. As for the energy: -6.071 eV per atom.

Unit cell a=7.083 b=7.083 c=7.083 alpha=90.00 beta=90.00 gamma=90.00
Space group F-43m (No. 216)
Unique sites:
1 Sc 0.000 0.000 0.000
2 Nb 0.250 0.250 0.750
3 Sb 0.000 0.000 0.500
4 Sb 0.250 0.250 0.250

8.
Entry from OQMD via LeMat-Bulk: a relaxed structure of Sc2NbSb (PBE).

The total magnetization comes out at 2.01 μB/f.u. The crystal system is cubic. As for the energy: -6.875 eV per atom.

Unit cell a=6.880 b=6.880 c=6.880 alpha=90.00 beta=90.00 gamma=90.00
Space group F-43m (No. 216)
Unique sites:
1 Sc 0.000 0.000 0.000
2 Sc 0.250 0.250 0.250
3 Nb 0.000 0.000 0.500
4 Sb 0.250 0.250 0.750

9.
Entry from OQMD via LeMat-Bulk: a relaxed structure of NbSiSb (PBE).

The total magnetization comes out at 0.07 μB/f.u. The crystal system is cubic. As for the energy: -6.113 eV per atom.

Unit cell a=6.463 b=6.463 c=6.463 alpha=90.00 beta=90.00 gamma=90.00
Space group F-43m (No. 216)
Unique sites:
1 Nb 0.000 0.000 0.000
2 Si 0.250 0.250 0.250
3 Sb 0.250 0.250 0.750

10.
Entry from OQMD via LeMat-Bulk: a relaxed structure of NbSiSb (PBE).

The total magnetization comes out at 0.00 μB/f.u. The crystal system is cubic. As for the energy: -6.082 eV per atom.

Unit cell a=6.317 b=6.317 c=6.317 alpha=90.00 beta=90.00 gamma=90.00
Space group F-43m (No. 216)
Unique sites:
1 Nb 0.000 0.000 0.000
2 Si 0.250 0.250 0.250
3 Sb 0.000 0.000 0.500

11.
Entry from OQMD via LeMat-Bulk: a relaxed structure of SmNb2Si2Sb (PBE).

The total magnetization comes out at 0.00 μB/f.u. The crystal system is tetragonal. As for the energy: -6.964 eV per atom.

Unit cell a=4.017 b=4.017 c=7.929 alpha=90.00 beta=90.00 gamma=90.00
Space group P4mm (No. 99)
Unique sites:
1 Sm 0.000 0.000 0.000
2 Nb 0.000 0.500 0.363
3 Si 0.000 0.000 0.607
4 Si 0.500 0.500 0.134
5 Sb 0.500 0.500 0.661

12.
Entry from OQMD via LeMat-Bulk: a relaxed structure of TaNbSi2Sb2 (PBE).

The total magnetization comes out at 0.00 μB/f.u. The crystal system is tetragonal. As for the energy: -7.210 eV per atom.

Unit cell a=3.669 b=3.669 c=8.227 alpha=90.00 beta=90.00 gamma=90.00
Space group P4mm (No. 99)
Unique sites:
1 Ta 0.000 0.000 0.000
2 Nb 0.500 0.500 0.477
3 Si 0.000 0.500 0.238
4 Sb 0.000 0.000 0.622
5 Sb 0.500 0.500 0.854

13.
Entry from OQMD via LeMat-Bulk: a relaxed structure of TmNb2Si2Sb (PBE).

The total magnetization comes out at 0.00 μB/f.u. The crystal system is tetragonal. As for the energy: -6.890 eV per atom.

Unit cell a=4.006 b=4.006 c=7.705 alpha=90.00 beta=90.00 gamma=90.00
Space group P4mm (No. 99)
Unique sites:
1 Tm 0.000 0.000 0.000
2 Nb 0.000 0.500 0.354
3 Si 0.000 0.000 0.608
4 Si 0.500 0.500 0.118
5 Sb 0.500 0.500 0.662

14.
Entry from OQMD via LeMat-Bulk: a relaxed structure of YNb2Si2Sb (PBE).

The total magnetization comes out at 0.02 μB/f.u. The crystal system is tetragonal. As for the energy: -7.248 eV per atom.

Unit cell a=4.012 b=4.012 c=7.799 alpha=90.00 beta=90.00 gamma=90.00
Space group P4mm (No. 99)
Unique sites:
1 Y 0.000 0.000 0.000
2 Nb 0.000 0.500 0.358
3 Si 0.000 0.000 0.608
4 Si 0.500 0.500 0.126
5 Sb 0.500 0.500 0.663

15.
Entry from OQMD via LeMat-Bulk: a relaxed structure of SmNbSb2 (PBE).

The total magnetization comes out at 0.23 μB/f.u. The crystal system is tetragonal. As for the energy: -6.050 eV per atom.

Unit cell a=4.234 b=4.234 c=5.933 alpha=90.00 beta=90.00 gamma=90.00
Space group P4/mmm (No. 123)
Unique sites:
1 Sm 0.000 0.000 0.000
2 Nb 0.500 0.500 0.500
3 Sb 0.000 0.000 0.500
4 Sb 0.500 0.500 0.000

16.
Entry from OQMD via LeMat-Bulk: a relaxed structure of SmNbSb (PBE).

The total magnetization comes out at 0.25 μB/f.u. The value obtained for the energy above the most stable polymorph in this dataset is 0 meV per atom. The crystal system is cubic. As for the energy: -6.293 eV per atom.

Unit cell a=6.891 b=6.891 c=6.891 alpha=90.00 beta=90.00 gamma=90.00
Space group F-43m (No. 216)
Unique sites:
1 Sm 0.000 0.000 0.000
2 Nb 0.000 0.000 0.500
3 Sb 0.250 0.250 0.750

17.
Entry from OQMD via LeMat-Bulk: a relaxed structure of SmNbSb (PBE).

The total magnetization comes out at 3.86 μB/f.u. The value obtained for the energy above the most stable polymorph in this dataset is 670 meV per atom. The crystal system is cubic. As for the energy: -5.623 eV per atom.

Unit cell a=7.186 b=7.186 c=7.186 alpha=90.00 beta=90.00 gamma=90.00
Space group F-43m (No. 216)
Unique sites:
1 Sm 0.000 0.000 0.000
2 Nb 0.250 0.250 0.750
3 Sb 0.250 0.250 0.250

18.
Entry from OQMD via LeMat-Bulk: a relaxed structure of NbSnSb (PBE).

The total magnetization comes out at 0.00 μB/f.u. The crystal system is cubic. As for the energy: -5.424 eV per atom.

Unit cell a=6.814 b=6.814 c=6.814 alpha=90.00 beta=90.00 gamma=90.00
Space group F-43m (No. 216)
Unique sites:
1 Nb 0.000 0.000 0.000
2 Sn 0.000 0.000 0.500
3 Sb 0.250 0.250 0.250

19.
Entry from OQMD via LeMat-Bulk: a relaxed structure of NbSnSb (PBE).

The total magnetization comes out at 0.00 μB/f.u. The crystal system is orthorhombic. As for the energy: -6.181 eV per atom.

Unit cell a=7.385 b=3.680 c=9.363 alpha=90.00 beta=90.00 gamma=90.00
Space group Pnma (No. 62)
Unique sites:
1 Nb 0.125 0.250 0.248
2 Sn 0.123 0.250 0.587
3 Sb 0.128 0.250 0.904

20.
Entry from OQMD via LeMat-Bulk: a relaxed structure of NbSnSb (PBE).

The total magnetization comes out at 0.21 μB/f.u. The crystal system is cubic. As for the energy: -5.720 eV per atom.

Unit cell a=6.772 b=6.772 c=6.772 alpha=90.00 beta=90.00 gamma=90.00
Space group F-43m (No. 216)
Unique sites:
1 Nb 0.000 0.000 0.000
2 Sn 0.250 0.250 0.250
3 Sb 0.250 0.250 0.750